1.
First-principles (PBE-GGA) data for a relaxed structure of CsK2CdHg2, as listed in Alexandria via LeMat-Bulk.

a = 5.1793 Å, b = 9.0823 Å, c = 11.1502 Å
α = 90.00°, β = 90.00°, γ = 90.00°
Positions (direct):
Cd 0.5000 0.1372 0.7294
Cd 0.5000 0.6372 0.2706
Hg 0.0000 0.7489 0.1419
Hg 0.0000 0.2489 0.8581
Hg 0.5000 0.7904 0.6392
Hg 0.5000 0.2904 0.3608
Cs 0.0000 0.4758 0.5611
Cs 0.0000 0.9758 0.4389
K 0.0000 0.8702 0.8379
K 0.5000 0.5232 0.9129
K 0.0000 0.3702 0.1621
K 0.5000 0.0232 0.0871

---

2.
First-principles (PBE-GGA) data for a relaxed structure of CsLiCdHg2, as listed in Alexandria via LeMat-Bulk.

a = 5.8320 Å, b = 5.8320 Å, c = 5.4485 Å
α = 90.00°, β = 90.00°, γ = 90.00°
Positions (direct):
Li 0.0000 0.0000 0.5000
Hg 0.5000 0.0000 0.0000
Hg 0.0000 0.5000 0.0000
Cs 0.5000 0.5000 0.5000
Cd 0.0000 0.0000 0.0000

As for the energy relative to the lowest polymorph listed for this composition: 55 meV/atom.

---

3.
First-principles (PBE-GGA) data for a relaxed structure of CsLiCdHg2, as listed in Alexandria via LeMat-Bulk.

a = 5.5028 Å, b = 5.5028 Å, c = 5.4934 Å
α = 90.00°, β = 90.00°, γ = 90.00°
Positions (direct):
Cd 0.0000 0.0000 0.5000
Cs 0.5000 0.5000 0.5000
Hg 0.0000 0.5000 0.0000
Hg 0.5000 0.0000 0.0000
Li 0.0000 0.0000 0.0000

As for the energy relative to the lowest polymorph listed for this composition: 0 meV/atom.

---

4.
First-principles (PBE-GGA) data for a relaxed structure of CsMgCdHg3, as listed in Alexandria via LeMat-Bulk.

a = 7.3046 Å, b = 8.3856 Å, c = 8.1606 Å
α = 120.92°, β = 90.00°, γ = 90.00°
Positions (direct):
Hg 0.7500 0.7911 0.5823
Hg 0.2500 0.2089 0.4177
Hg 0.0000 0.7394 0.0000
Hg 0.0000 0.2606 0.0000
Hg 0.5000 0.2606 0.0000
Hg 0.5000 0.7394 0.0000
Cd 0.2500 0.4177 0.8353
Cd 0.7500 0.5823 0.1647
Cs 0.2500 0.7194 0.4389
Cs 0.7500 0.2806 0.5611
Mg 0.2500 0.0082 0.0164
Mg 0.7500 0.9918 0.9836

---

5.
First-principles (PBE-GGA) data for a relaxed structure of CsMgCd2Hg8, as listed in Alexandria via LeMat-Bulk.

a = 6.2899 Å, b = 6.2899 Å, c = 10.8899 Å
α = 66.22°, β = 66.22°, γ = 66.80°
Positions (direct):
Hg 0.6308 0.1778 0.2256
Hg 0.3454 0.3454 0.5034
Hg 0.1778 0.6308 0.2256
Hg 0.2278 0.2278 0.1000
Hg 0.7722 0.7722 0.9000
Hg 0.3692 0.8222 0.7744
Hg 0.6546 0.6546 0.4966
Hg 0.8222 0.3692 0.7744
Cd 0.3315 0.3315 0.7904
Cd 0.6685 0.6685 0.2096
Mg 0.0000 0.0000 0.0000
Cs 0.0000 0.0000 0.5000

---

6.
First-principles (PBE-GGA) data for a relaxed structure of Cs2NaCdHg, as listed in Alexandria via LeMat-Bulk.

a = 7.2119 Å, b = 7.2119 Å, c = 5.9082 Å
α = 90.00°, β = 90.00°, γ = 90.00°
Positions (direct):
Na 0.0000 0.0000 0.5000
Cs 0.0000 0.5000 0.0000
Cs 0.5000 0.0000 0.0000
Hg 0.0000 0.0000 0.0000
Cd 0.5000 0.5000 0.5000

As for the energy relative to the lowest polymorph listed for this composition: 18 meV/atom.

---

We obtain E_tot values of -0.919; -0.935; -0.990; -0.815; -0.640; -0.828 eV/atom for the records listed above, in that order.